16
Lattice="6.4915 0.0000 0.0000 0.0000 6.4959 0.0000 0.0000 0.0000 8.4439" Properties=species:S:1:pos:R:3 comment="CdBiAsO | OQMD via LeMat-Bulk | PBE | relaxed" dft_energy_ev_per_fu=-16.00 density_g_cm3=7.7 polymorph_energy_mev_per_atom=109 pbc="T T T"
As 4.8305 3.2554 0.2163
As 1.6610 0.0074 4.0056
As 4.9067 3.2405 4.4383
As 1.5847 6.4885 8.2276
Bi 0.2550 4.8238 1.6204
Bi 6.2365 1.5759 2.6015
Bi 2.9907 1.6721 5.8424
Bi 3.5008 4.9200 6.8235
Cd 3.0253 1.5399 1.3807
Cd 3.4662 4.7879 2.8412
Cd 0.2205 4.9560 5.6027
Cd 6.2710 1.7081 7.0632
O 1.7969 3.3524 2.0920
O 4.6945 0.1045 2.1299
O 1.4488 3.1435 6.3140
O 5.0427 6.3914 6.3519